1.
VASP calculation (GGA-PBE) on TlSnSe2N after structural relaxation.

Structure (POSCAR):
```
TlSnSe2N
1.0
-2.8595 -3.1651 -3.4389
2.2058 -4.4682 2.2783
-3.1467 -0.1492 2.7539
Tl Sn Se N
1 1 2 1
direct
0.5000 0.5000 0.5000
0.0000 0.0000 0.0000
0.0000 0.5000 0.0000
0.5000 0.0000 0.0000
0.0000 0.0000 0.5000
```

Summary:
- crystal system = tetragonal
- SG = P4/mmm, No. 123
- total moment (Bohr magnetons per cell) = 1.93
- formation energy without anion corrections (eV per formula unit) = 2.39
- energy (eV/atom) = -3.854

2.
VASP calculation (GGA-PBE) on TlSnSe2N after structural relaxation.

Structure (POSCAR):
```
TlSnSe2N
1.0
-5.5153 0.0471 -0.2527
-0.2394 -2.9176 4.6814
-0.0732 3.6660 2.2811
Tl Sn Se N
1 1 2 1
direct
0.0000 0.0000 0.0000
0.5000 0.5000 0.5000
0.0000 0.5000 0.0000
0.5000 0.0000 0.0000
0.0000 0.0000 0.5000
```

Summary:
- crystal system = tetragonal
- SG = P4/mmm, No. 123
- total moment (Bohr magnetons per cell) = 2.04
- formation energy without anion corrections (eV per formula unit) = 4.35
- energy (eV/atom) = -3.462